(1)
Crystalline La6Ho8Er at its relaxed geometry, computed with PBE-GGA. Values from VASP.

- raw total energy (eV/f.u.) = -69.04
- formation energy (eV per atom) = 0.11
- crystal system = trigonal

```
&SYSTEM
  ibrav = 0, nat = 15, ntyp = 3
/
ATOMIC_SPECIES
La 138.91 La.upf
Ho 164.93 Ho.upf
Er 167.26 Er.upf
ATOMIC_POSITIONS angstrom
La 12.281 9.418 6.082
La 2.538 2.202 0.987
La 5.191 4.587 0.987
La 13.021 5.927 6.082
La 15.674 8.313 6.082
La 5.930 1.097 0.987
Ho 6.153 3.843 4.125
Ho 8.854 1.993 2.944
Ho 6.404 7.108 2.944
Ho 9.106 5.257 1.903
Ho 9.106 5.257 5.166
Ho 11.807 3.407 4.125
Ho 9.358 8.522 4.125
Ho 12.059 6.672 2.944
Er 0.000 0.000 0.000
CELL_PARAMETERS angstrom
9.106 0.000 0.000
4.553 7.886 0.000
4.553 2.629 7.069
```


(2)
Crystalline La4Ho2Er3 at its relaxed geometry, computed with PBE-GGA. Values from VASP.

- raw total energy (eV/f.u.) = -41.81
- offset from the most stable computed form (eV per atom) = 0.049
- formation energy (eV per atom) = 0.08
- crystal system = monoclinic

```
&SYSTEM
  ibrav = 0, nat = 9, ntyp = 3
/
ATOMIC_SPECIES
La 138.91 La.upf
Ho 164.93 Ho.upf
Er 167.26 Er.upf
ATOMIC_POSITIONS angstrom
La -2.800 1.805 1.578
La -3.408 2.781 8.516
La -6.589 2.502 6.159
La -7.197 3.477 13.097
Ho -4.699 0.155 4.234
Ho -5.299 5.128 10.442
Er -6.641 2.079 9.779
Er 0.000 0.000 0.000
Er -3.356 3.204 4.896
CELL_PARAMETERS angstrom
-1.264 3.093 -1.516
-5.333 -2.898 2.974
-3.400 5.088 13.217
```


(3)
Crystalline La12HoEr3 at its relaxed geometry, computed with PBE-GGA. Values from VASP.

- raw total energy (eV/f.u.) = -77.28
- formation energy (eV per atom) = 0.01
- crystal system = tetragonal

```
&SYSTEM
  ibrav = 0, nat = 16, ntyp = 3
/
ATOMIC_SPECIES
La 138.91 La.upf
Ho 164.93 Ho.upf
Er 167.26 Er.upf
ATOMIC_POSITIONS angstrom
La 2.598 2.598 0.000
La 2.598 2.598 5.191
La 2.598 2.598 10.388
La 2.598 2.598 15.584
La 2.598 0.000 2.598
La 2.598 0.000 7.790
La 2.598 0.000 12.986
La 2.598 0.000 18.178
La 0.000 2.598 2.598
La 0.000 2.598 7.790
La 0.000 2.598 12.986
La 0.000 2.598 18.178
Ho 0.000 0.000 0.000
Er 0.000 0.000 5.195
Er 0.000 0.000 10.388
Er 0.000 0.000 15.581
CELL_PARAMETERS angstrom
5.196 0.000 0.000
0.000 5.196 0.000
0.000 0.000 20.776
```


(4)
Crystalline LaHoEr4 at its relaxed geometry, computed with PBE-GGA. Values from VASP.

- raw total energy (eV/f.u.) = -26.10
- offset from the most stable computed form (eV per atom) = 0.133
- formation energy (eV per atom) = 0.28
- crystal system = cubic

```
&SYSTEM
  ibrav = 0, nat = 6, ntyp = 3
/
ATOMIC_SPECIES
La 138.91 La.upf
Ho 164.93 Ho.upf
Er 167.26 Er.upf
ATOMIC_POSITIONS angstrom
La -1.388 3.780 -0.225
Ho 0.000 0.000 0.000
Er -4.102 6.299 -1.327
Er -0.991 7.436 -1.407
Er -3.474 9.461 -0.564
Er -2.536 7.042 1.496
CELL_PARAMETERS angstrom
-1.864 4.808 -4.095
-4.935 4.025 1.677
1.248 6.285 1.517
```


(5)
Crystalline LaHoEr3 at its relaxed geometry, computed with PBE-GGA. Values from VASP.

- raw total energy (eV/f.u.) = -21.77
- offset from the most stable computed form (eV per atom) = 0.102
- formation energy (eV per atom) = 0.29
- crystal system = monoclinic

```
&SYSTEM
  ibrav = 0, nat = 10, ntyp = 3
/
ATOMIC_SPECIES
La 138.91 La.upf
Ho 164.93 Ho.upf
Er 167.26 Er.upf
ATOMIC_POSITIONS angstrom
La -4.053 0.147 3.691
La -2.745 5.364 7.799
Ho -1.869 1.924 1.480
Ho -4.929 3.586 10.009
Er -2.742 -1.245 0.534
Er -4.056 6.756 10.956
Er -4.561 3.660 2.682
Er -2.237 1.850 8.808
Er -2.890 -0.757 6.741
Er -3.908 6.268 4.749
CELL_PARAMETERS angstrom
-3.315 -0.774 -1.038
0.160 -3.542 8.226
-3.643 9.827 4.302
```


(6)
Crystalline La12Ho2Er5 at its relaxed geometry, computed with PBE-GGA. Values from VASP.

- raw total energy (eV/f.u.) = -88.13
- offset from the most stable computed form (eV per atom) = 0.056
- formation energy (eV per atom) = 0.16
- crystal system = monoclinic

```
&SYSTEM
  ibrav = 0, nat = 19, ntyp = 3
/
ATOMIC_SPECIES
La 138.91 La.upf
Ho 164.93 Ho.upf
Er 167.26 Er.upf
ATOMIC_POSITIONS angstrom
La -3.663 4.930 10.396
La 0.520 11.115 7.801
La -3.417 10.141 8.375
La 1.133 7.653 7.139
La -2.533 6.746 7.673
La -0.999 10.272 10.566
La -4.309 2.298 1.498
La -6.441 4.917 4.926
La -2.775 5.824 4.391
La -5.829 1.456 4.263
La -1.891 2.429 3.689
La -1.645 7.640 1.669
Ho -5.112 -1.264 0.745
Ho -2.203 -0.545 0.321
Er -1.557 9.232 4.976
Er -0.070 4.080 6.440
Er -1.039 4.809 1.030
Er -5.238 8.490 5.625
Er -3.751 3.338 7.089
CELL_PARAMETERS angstrom
-7.316 -1.809 1.066
4.085 4.760 8.938
-2.078 9.618 2.060
```


(7)
Crystalline La3HoEr4 at its relaxed geometry, computed with PBE-GGA. Values from VASP.

- raw total energy (eV/f.u.) = -36.47
- offset from the most stable computed form (eV per atom) = 0.112
- formation energy (eV per atom) = 0.14
- crystal system = orthorhombic

```
&SYSTEM
  ibrav = 0, nat = 8, ntyp = 3
/
ATOMIC_SPECIES
Er 167.26 Er.upf
Ho 164.93 Ho.upf
La 138.91 La.upf
ATOMIC_POSITIONS angstrom
Er 4.784 -0.009 4.605
Er 3.685 -6.836 5.456
Er 7.439 -2.138 5.492
Er 1.030 -4.707 4.570
Ho -0.350 0.267 1.692
La 1.711 -1.399 4.188
La 6.758 -5.446 5.873
La 4.585 -3.690 3.339
CELL_PARAMETERS angstrom
-0.701 0.534 3.383
0.910 -8.288 3.304
8.260 0.909 3.374
```


(8)
Crystalline La2Ho15Er2 at its relaxed geometry, computed with PBE-GGA. Values from VASP.

- raw total energy (eV/f.u.) = -82.06
- formation energy (eV per atom) = 0.29
- crystal system = trigonal

```
&SYSTEM
  ibrav = 0, nat = 19, ntyp = 3
/
ATOMIC_SPECIES
La 138.91 La.upf
Ho 164.93 Ho.upf
Er 167.26 Er.upf
ATOMIC_POSITIONS angstrom
La 8.127 6.261 11.612
La 1.081 0.832 1.544
Ho 0.788 4.128 1.127
Ho -0.377 -0.291 4.325
Ho 4.192 -0.291 1.127
Ho 2.039 -0.581 6.695
Ho 6.304 2.119 2.253
Ho 0.864 5.555 4.208
Ho 3.658 5.555 2.253
Ho -0.042 2.119 6.695
Ho 5.592 -0.581 4.208
Ho 4.159 6.549 5.942
Ho 3.051 2.351 8.981
Ho 7.393 2.351 5.942
Ho 5.049 0.544 7.214
Ho 6.156 4.743 4.175
Ho 1.814 4.743 7.214
Er 6.178 4.759 8.827
Er 3.030 2.334 4.329
CELL_PARAMETERS angstrom
8.385 -0.581 2.253
1.577 8.256 2.253
-0.754 -0.581 8.649
```


Per-record magnetization, Bohr magnetons per cell: 0.00, 0.00, 0.00, 1.50, 0.00, 0.00, 0.00, 0.00